Computed, not measured: a geometry-optimized MnP4Ir structure at the PBE-GGA level of DFT.

Calculated values
Theoretical density = 7.15 Mg/m³
Energy of formation = 4.5 eV per formula unit
Total magnetic moment = 3.53 μB per formula unit
Space group = No. 216
Total energy = -5.86 eV per atom

Cell lengths 4.957, 4.957, 4.957 Å; angles 60.00, 60.00, 60.00 degrees
Each line ends with the local moment (μB).
Fractional coordinates of all 6 atoms:
Ir 0.250 0.250 0.250  -0.18
P 0.122 0.626 0.626  -0.02
P 0.626 0.122 0.626  -0.02
Mn 0.000 0.000 0.000  3.71
P 0.626 0.626 0.122  -0.02
P 0.626 0.626 0.626  -0.02



Computed, not measured: a geometry-optimized Mn2PIr structure at the PBE-GGA level of DFT.

Calculated values
Theoretical density = 10.85 Mg/m³
Energy of formation = 0.0 eV per formula unit
Total magnetic moment = 1.46 μB per formula unit
Space group = No. 160
Total energy = -8.16 eV per atom

Cell lengths 7.861, 7.861, 7.861 Å; angles 20.25, 20.25, 20.25 degrees
Each line ends with the local moment (μB).
Fractional coordinates of all 4 atoms:
Mn 0.245 0.245 0.245  -1.31
Ir 0.755 0.755 0.755  0.02
P 0.504 0.504 0.504  0.02
Mn 0.996 0.996 0.996  2.66



Computed, not measured: a geometry-optimized Mn2PIr structure at the PBE-GGA level of DFT.

Calculated values
Theoretical density = 10.55 Mg/m³
Energy of formation = -1.1 eV per formula unit
Total magnetic moment = 5.24 μB per formula unit
Space group = No. 38
Total energy = -8.42 eV per atom

Cell lengths 3.432, 2.893, 5.474 Å; angles 74.67, 90.00, 90.00 degrees
Each line ends with the local moment (μB).
Fractional coordinates of all 4 atoms:
Mn 0.000 0.935 0.005  2.96
Mn 0.500 0.291 0.292  2.21
P 0.000 0.713 0.448  -0.09
Ir 0.500 0.561 0.754  0.05



Computed, not measured: a geometry-optimized Mn2P2Ir structure at the PBE-GGA level of DFT.

Calculated values
Theoretical density = 9.71 Mg/m³
Energy of formation = -1.4 eV per formula unit
Total magnetic moment = 4.38 μB per formula unit
Space group = No. 127
Total energy = -7.88 eV per atom

Cell lengths 6.454, 6.454, 2.988 Å; angles 90.00, 90.00, 90.00 degrees
Each line ends with the local moment (μB).
Fractional coordinates of all 10 atoms:
P 0.152 0.348 0.000  -0.11
P 0.348 0.848 0.000  -0.11
P 0.652 0.152 0.000  -0.11
P 0.848 0.652 0.000  -0.11
Mn 0.639 0.861 0.500  2.24
Mn 0.361 0.139 0.500  2.24
Mn 0.139 0.639 0.500  2.21
Ir 0.000 0.000 0.000  0.12
Mn 0.861 0.361 0.500  2.21
Ir 0.500 0.500 0.000  0.12



Computed, not measured: a geometry-optimized MnP2Ir structure at the PBE-GGA level of DFT.

Calculated values
Theoretical density = 9.33 Mg/m³
Energy of formation = 0.8 eV per formula unit
Relative energy among the computed polymorphs = 2.17 eV per formula unit
Total magnetic moment = 1.54 μB per formula unit
Space group = No. 71
Total energy = -7.02 eV per atom

Cell lengths 4.801, 4.801, 4.801 Å; angles 146.34, 113.75, 76.40 degrees
Each line ends with the local moment (μB).
Fractional coordinates of all 4 atoms:
Ir 0.750 0.250 0.500  0.00
P 0.011 0.011 0.000  -0.04
P 0.489 0.489 0.000  -0.04
Mn 0.250 0.750 0.500  1.63



Computed, not measured: a geometry-optimized MnP3Ir structure at the PBE-GGA level of DFT.

Calculated values
Theoretical density = 7.22 Mg/m³
Energy of formation = 3.5 eV per formula unit
Relative energy among the computed polymorphs = 0.00 eV per formula unit
Total magnetic moment = 0.00 μB per formula unit
Space group = No. 221
Total energy = -6.14 eV per atom

Cell lengths 4.276, 4.276, 4.276 Å; angles 90.00, 90.00, 90.00 degrees
Fractional coordinates of all 5 atoms:
P 0.000 0.000 0.500
Mn 0.000 0.000 0.000
P 0.000 0.500 0.000
P 0.500 0.000 0.000
Ir 0.500 0.500 0.500



Computed, not measured: a geometry-optimized MnP2Ir structure at the PBE-GGA level of DFT.

Calculated values
Theoretical density = 9.25 Mg/m³
Energy of formation = 1.5 eV per formula unit
Relative energy among the computed polymorphs = 2.88 eV per formula unit
Total magnetic moment = 3.54 μB per formula unit
Space group = No. 216
Total energy = -6.84 eV per atom

Cell lengths 4.281, 4.281, 4.281 Å; angles 60.00, 60.00, 60.00 degrees
Each line ends with the local moment (μB).
Fractional coordinates of all 4 atoms:
P 0.000 0.000 0.000  -0.03
Ir 0.500 0.500 0.500  0.28
Mn 0.750 0.750 0.750  3.08
P 0.250 0.250 0.250  0.04



Computed, not measured: a geometry-optimized Mn3PIr structure at the PBE-GGA level of DFT.

Calculated values
Theoretical density = 9.62 Mg/m³
Energy of formation = 3.1 eV per formula unit
Relative energy among the computed polymorphs = 0.00 eV per formula unit
Total magnetic moment = 0.00 μB per formula unit
Space group = No. 221
Total energy = -7.74 eV per atom

Cell lengths 4.062, 4.062, 4.062 Å; angles 90.00, 90.00, 90.00 degrees
Fractional coordinates of all 5 atoms:
Mn 0.000 0.000 0.500
Mn 0.000 0.500 0.000
Mn 0.500 0.000 0.000
P 0.000 0.000 0.000
Ir 0.500 0.500 0.500



Computed, not measured: a geometry-optimized Mn2PIr structure at the PBE-GGA level of DFT.

Calculated values
Theoretical density = 11.11 Mg/m³
Energy of formation = -0.6 eV per formula unit
Total magnetic moment = 4.30 μB per formula unit
Space group = No. 123
Total energy = -8.31 eV per atom

Cell lengths 3.593, 3.594, 3.855 Å; angles 90.00, 90.00, 90.00 degrees
Each line ends with the local moment (μB).
Fractional coordinates of all 4 atoms:
Mn 0.000 0.000 0.000  2.17
Mn 0.500 0.500 0.000  2.17
Ir 0.000 0.500 0.500  -0.08
P 0.500 0.000 0.500  -0.09



Computed, not measured: a geometry-optimized MnP2Ir structure at the PBE-GGA level of DFT.

Calculated values
Theoretical density = 7.49 Mg/m³
Energy of formation = -0.7 eV per formula unit
Relative energy among the computed polymorphs = 0.72 eV per formula unit
Total magnetic moment = 0.71 μB per formula unit
Space group = No. 122
Total energy = -7.38 eV per atom

Cell lengths 5.169, 5.169, 6.301 Å; angles 65.79, 65.79, 90.00 degrees
Each line ends with the local moment (μB).
Fractional coordinates of all 8 atoms:
Ir 0.000 0.000 0.000  -0.07
Ir 0.750 0.250 0.500  -0.07
P 0.875 0.861 0.750  -0.04
P 0.375 0.389 0.750  -0.04
Mn 0.250 0.750 0.500  0.86
P 0.139 0.625 0.250  -0.04
P 0.611 0.125 0.250  -0.04
Mn 0.500 0.500 0.000  0.86



Computed, not measured: a geometry-optimized Mn2PIr structure at the PBE-GGA level of DFT.

Calculated values
Theoretical density = 11.14 Mg/m³
Energy of formation = -0.4 eV per formula unit
Total magnetic moment = 3.88 μB per formula unit
Space group = No. 216
Total energy = -8.25 eV per atom

Cell lengths 4.125, 4.125, 4.125 Å; angles 60.00, 60.00, 60.00 degrees
Each line ends with the local moment (μB).
Fractional coordinates of all 4 atoms:
P 0.250 0.250 0.250  0.05
Ir 0.500 0.500 0.500  0.22
Mn 0.000 0.000 0.000  0.32
Mn 0.750 0.750 0.750  3.13



Computed, not measured: a geometry-optimized MnP2Ir structure at the PBE-GGA level of DFT.

Calculated values
Theoretical density = 9.60 Mg/m³
Energy of formation = -1.4 eV per formula unit
Relative energy among the computed polymorphs = 0.00 eV per formula unit
Total magnetic moment = 0.02 μB per formula unit
Space group = No. 8
Total energy = -7.56 eV per atom

Cell lengths 4.076, 4.076, 4.725 Å; angles 77.70, 77.70, 44.43 degrees
Fractional coordinates of all 4 atoms:
Mn 0.275 0.275 0.097
Ir 0.492 0.492 0.524
P 0.982 0.982 0.140
P 0.751 0.751 0.739



Computed, not measured: a geometry-optimized MnP2Ir structure at the PBE-GGA level of DFT.

Calculated values
Theoretical density = 8.04 Mg/m³
Energy of formation = -0.6 eV per formula unit
Relative energy among the computed polymorphs = 0.80 eV per formula unit
Total magnetic moment = 3.92 μB per formula unit
Space group = No. 10
Total energy = -7.36 eV per atom

Cell lengths 3.818, 3.884, 4.309 Å; angles 91.54, 90.00, 90.00 degrees
Each line ends with the local moment (μB).
Fractional coordinates of all 4 atoms:
P 0.000 0.398 0.542  -0.03
Mn 0.500 0.750 0.750  3.63
Ir 0.500 0.250 0.250  0.12
P 0.000 0.102 0.958  -0.03



Computed, not measured: a geometry-optimized Mn2PIr structure at the PBE-GGA level of DFT.

Calculated values
Theoretical density = 11.70 Mg/m³
Energy of formation = -0.7 eV per formula unit
Total magnetic moment = 0.00 μB per formula unit
Space group = No. 71
Total energy = -8.33 eV per atom

Cell lengths 4.821, 4.821, 4.821 Å; angles 146.71, 129.09, 62.20 degrees
Fractional coordinates of all 4 atoms:
Mn 0.967 0.967 0.000
P 0.750 0.250 0.500
Ir 0.250 0.750 0.500
Mn 0.533 0.533 0.000